No. 1
{
  "formula": "Hf2BeZn",
  "functional": "PBE",
  "state": "relaxed",
  "ef_ev_per_atom": 0.385,
  "m_tot_mub_per_cell": 0.000,
  "e_above_lowest_polymorph_mev_per_atom": 511,
  "lattice_angstrom": [[7.217, 0.000, 0.000], [0.000, 7.217, 0.000], [0.000, 0.000, 5.500]],
  "species": ["Hf", "Hf", "Hf", "Hf", "Hf", "Hf", "Hf", "Hf", "Be", "Be", "Be", "Be", "Zn", "Zn", "Zn", "Zn"],
  "frac_coords": [[0.232, 0.750, 0.125], [0.250, 0.232, 0.875], [0.250, 0.268, 0.375], [0.268, 0.750, 0.625], [0.732, 0.250, 0.625], [0.750, 0.732, 0.375], [0.750, 0.768, 0.875], [0.768, 0.250, 0.125], [0.000, 0.000, 0.000], [0.000, 0.500, 0.250], [0.500, 0.000, 0.750], [0.500, 0.500, 0.500], [0.000, 0.000, 0.500], [0.000, 0.500, 0.750], [0.500, 0.000, 0.250], [0.500, 0.500, 0.000]]
}


No. 2
{
  "formula": "HfBe10Zn",
  "functional": "PBE",
  "state": "relaxed",
  "ef_ev_per_atom": -0.093,
  "m_tot_mub_per_cell": 0.000,
  "lattice_angstrom": [[3.540, 0.000, 0.000], [0.000, 4.310, 0.000], [0.000, 0.000, 7.758]],
  "species": ["Hf", "Be", "Be", "Be", "Be", "Be", "Be", "Be", "Be", "Be", "Be", "Zn"],
  "frac_coords": [[0.000, 0.000, 0.000], [0.000, 0.000, 0.340], [0.000, 0.000, 0.660], [0.000, 0.500, 0.193], [0.000, 0.500, 0.807], [0.500, 0.000, 0.500], [0.500, 0.240, 0.243], [0.500, 0.240, 0.757], [0.500, 0.500, 0.000], [0.500, 0.760, 0.243], [0.500, 0.760, 0.757], [0.000, 0.500, 0.500]]
}


No. 3
{
  "formula": "Hf2BeZn2",
  "functional": "PBE",
  "state": "relaxed",
  "ef_ev_per_atom": -0.109,
  "m_tot_mub_per_cell": 0.000,
  "e_above_lowest_polymorph_mev_per_atom": 0,
  "lattice_angstrom": [[6.238, 0.000, 0.000], [0.000, 6.238, 0.000], [0.000, 0.000, 4.276]],
  "species": ["Hf", "Hf", "Hf", "Hf", "Be", "Be", "Zn", "Zn", "Zn", "Zn"],
  "frac_coords": [[0.171, 0.329, 0.000], [0.329, 0.829, 0.000], [0.671, 0.171, 0.000], [0.829, 0.671, 0.000], [0.000, 0.000, 0.500], [0.500, 0.500, 0.500], [0.140, 0.640, 0.500], [0.360, 0.140, 0.500], [0.640, 0.860, 0.500], [0.860, 0.360, 0.500]]
}


No. 4
{
  "formula": "HfBe17Zn",
  "functional": "PBE",
  "state": "relaxed",
  "ef_ev_per_atom": -0.069,
  "m_tot_mub_per_cell": 0.000,
  "lattice_angstrom": [[3.713, 2.144, 3.653], [-3.713, 2.144, 3.653], [0.000, -4.288, 3.653]],
  "species": ["Hf", "Be", "Be", "Be", "Be", "Be", "Be", "Be", "Be", "Be", "Be", "Be", "Be", "Be", "Be", "Be", "Be", "Be", "Zn"],
  "frac_coords": [[0.000, 0.000, 0.000], [0.039, 0.343, 0.632], [0.039, 0.632, 0.343], [0.183, 0.681, 0.681], [0.240, 0.240, 0.240], [0.326, 0.326, 0.843], [0.326, 0.843, 0.326], [0.343, 0.039, 0.632], [0.343, 0.632, 0.039], [0.438, 0.438, 0.438], [0.498, 0.998, 0.998], [0.632, 0.039, 0.343], [0.632, 0.343, 0.039], [0.681, 0.183, 0.681], [0.681, 0.681, 0.183], [0.843, 0.326, 0.326], [0.998, 0.498, 0.998], [0.998, 0.998, 0.498], [0.721, 0.721, 0.721]]
}


No. 5
{
  "formula": "Hf4BeZn3",
  "functional": "PBE",
  "state": "relaxed",
  "ef_ev_per_atom": -0.158,
  "m_tot_mub_per_cell": 0.000,
  "lattice_angstrom": [[3.237, 0.000, 0.000], [0.000, 3.237, 0.000], [0.000, 0.000, 13.224]],
  "species": ["Hf", "Hf", "Hf", "Hf", "Be", "Zn", "Zn", "Zn"],
  "frac_coords": [[0.000, 0.000, 0.116], [0.000, 0.000, 0.371], [0.000, 0.000, 0.629], [0.000, 0.000, 0.884], [0.500, 0.500, 0.000], [0.500, 0.500, 0.243], [0.500, 0.500, 0.500], [0.500, 0.500, 0.757]]
}


No. 6
{
  "formula": "Hf2BeZn",
  "functional": "PBE",
  "state": "relaxed",
  "ef_ev_per_atom": 0.785,
  "m_tot_mub_per_cell": 0.000,
  "e_above_lowest_polymorph_mev_per_atom": 911,
  "lattice_angstrom": [[2.880, 0.000, 0.000], [0.000, 4.955, 0.000], [0.000, 0.000, 10.922]],
  "species": ["Hf", "Hf", "Hf", "Hf", "Be", "Be", "Zn", "Zn"],
  "frac_coords": [[0.000, 0.000, 0.241], [0.000, 0.000, 0.759], [0.500, 0.500, 0.259], [0.500, 0.500, 0.741], [0.000, 0.000, 0.000], [0.500, 0.500, 0.500], [0.000, 0.000, 0.500], [0.500, 0.500, 0.000]]
}